Compound: GeAuSeN2
Source: Alexandria via LeMat-Bulk
Functional: PBE
Structure: relaxed

a b c (Å): 4.072 4.072 5.715
angles (deg): 90.00 90.00 90.00
Element x y z (fractional)
Se 0.000 0.000 0.500
N 0.500 0.000 0.000
N 0.000 0.500 0.000
Ge 0.500 0.500 0.500
Au 0.000 0.000 0.000

Summary:
Crystal system: tetragonal
Mass density in g cm⁻³: 6.600
Distance to the lowest polymorph of the same formula in meV per atom: 439.4
M_tot in μB per formula unit: 3.06
Total energy in eV for the cell shown: -20.01
E_form (uncorrected) in eV per atom: 1.6036